RbCdAg2Br6 | PBE-GGA | optimized geometry

Calculated values
**E_form (uncorrected)**: -7.0 eV/f.u.
**E_tot**: -0.09034 hartree per atom

Cell lengths 8.9161, 10.1350, 10.1350 Å; angles 82.40, 68.01, 68.01 degrees
Closest atoms and distances in Å follow each position.
Sites, in units of the cell vectors:
1 Cd 0.2500 0.1622 0.8378  4 Br 2.60-2.71
2 Cd 0.7500 0.8378 0.1622  4 Br 2.60-2.71
3 Ag 0.4266 0.7493 0.6378  4 Br 2.59-2.82
4 Ag 0.0734 0.3622 0.2507  4 Br 2.59-2.82
5 Ag 0.5734 0.2507 0.3622  4 Br 2.59-2.82
6 Ag 0.9266 0.6378 0.7493  4 Br 2.59-2.82
7 Br 0.4583 0.8886 0.3737  1 Cd 2.60, 1 Ag 2.82
8 Br 0.2279 0.6368 0.5783  2 Ag 2.59-2.70
9 Br 0.7279 0.5783 0.6368  2 Ag 2.59-2.70
10 Br 0.7721 0.3632 0.4217  2 Ag 2.59-2.70
11 Br 0.5417 0.1114 0.6263  1 Cd 2.60, 1 Ag 2.82
12 Br 0.0417 0.6263 0.1114  1 Cd 2.60, 1 Ag 2.82
13 Br 0.1718 0.9293 0.8349  1 Ag 2.63, 1 Cd 2.71
14 Br 0.2721 0.4217 0.3632  2 Ag 2.59-2.70
15 Br 0.6718 0.8349 0.9293  1 Ag 2.63, 1 Cd 2.71
16 Br 0.3282 0.1651 0.0707  1 Ag 2.63, 1 Cd 2.71
17 Br 0.8282 0.0707 0.1651  1 Ag 2.63, 1 Cd 2.71
18 Br 0.9583 0.3737 0.8886  1 Cd 2.60, 1 Ag 2.82
19 Rb 0.7500 0.1845 0.8155  6 Br 3.43-3.81
20 Rb 0.2500 0.8155 0.1845  6 Br 3.43-3.81